No. 1
Compound: Li2CaCr
Source: Alexandria
Functional: PBE-GGA
Structure: relaxed

Cell: 7.270 7.270 7.270 Å, 90.00 90.00 90.00°
Fractional positions:
Li  0.000  0.000  0.000
Li  0.000  0.500  0.500
Li  0.250  0.250  0.250
Li  0.250  0.750  0.750
Li  0.500  0.000  0.500
Li  0.500  0.500  0.000
Li  0.750  0.250  0.750
Li  0.750  0.750  0.250
Ca  0.250  0.250  0.750
Ca  0.250  0.750  0.250
Ca  0.750  0.250  0.250
Ca  0.750  0.750  0.750
Cr  0.000  0.000  0.500
Cr  0.000  0.500  0.000
Cr  0.500  0.000  0.000
Cr  0.500  0.500  0.500

Values from the calculation:
E_form (meV per atom): 409
SG: F-43m (216)

=====

No. 2
Compound: ZrReOs
Source: Alexandria
Functional: PBE-GGA
Structure: relaxed

Cell: 6.205 6.205 6.205 Å, 90.00 90.00 90.00°
Fractional positions:
Zr  0.000  0.000  0.000
Zr  0.000  0.500  0.500
Zr  0.500  0.000  0.500
Zr  0.500  0.500  0.000
Re  0.250  0.250  0.750
Re  0.250  0.750  0.250
Re  0.750  0.250  0.250
Re  0.750  0.750  0.750
Os  0.250  0.250  0.250
Os  0.250  0.750  0.750
Os  0.750  0.250  0.750
Os  0.750  0.750  0.250

Values from the calculation:
E_form (meV per atom): 1182
SG: F-43m (216)

=====

No. 3
Compound: TcNiBr2
Source: Alexandria
Functional: PBE-GGA
Structure: relaxed

Cell: 3.219 4.133 6.173 Å, 90.00 90.00 90.00°
Fractional positions:
Tc  0.000  0.000  0.000
Ni  0.500  0.000  0.500
Br  0.000  0.500  0.500
Br  0.500  0.500  0.000

Values from the calculation:
E_form (uncorrected) (eV/f.u.): 3.3
SG: Pmmm (47)

=====

No. 4
Compound: Ca4CuH
Source: Alexandria
Functional: PBE-GGA
Structure: relaxed

Cell: 6.097 9.357 6.151 Å, 90.00 97.03 90.00°
Fractional positions:
Ca  0.169  0.250  0.273
Ca  0.232  0.750  0.338
Ca  0.281  0.042  0.786
Ca  0.281  0.458  0.786
Ca  0.719  0.542  0.214
Ca  0.719  0.958  0.214
Ca  0.768  0.250  0.662
Ca  0.831  0.750  0.727
Cu  0.391  0.750  0.896
Cu  0.609  0.250  0.104
H  0.136  0.250  0.636
H  0.864  0.750  0.364

Values from the calculation:
Uncorrected energy (eV/cell): -32.4
SG: P2_1/m (11)

=====

| no. | D(E_F) (states/eV/cell) |
| --- | --- |
| 1 | 9.62 |
| 2 | 20.99 |
| 3 | 4.01 |
| 4 | 8.69 |